(1)
Here is crystalline CeSb2Au2 at its relaxed geometry from the Alexandria database. Energies are from PBE.

Its raw formation energy is -0.545 eV/atom.

It has space group Cmcm (No. 63), with a = 4.4337 Å, b = 23.9219 Å, c = 4.4562 Å, α = 90.00°, β = 90.00° and γ = 90.00°. The asymmetric unit holds Ce at (0.0000, 0.1463, 0.2500), Sb at (0.0000, 0.2498, 0.7500), Sb at (0.0000, 0.3816, 0.2500), Au at (0.0000, 0.0408, 0.7500) and Au at (0.0000, 0.4590, 0.7500).

=====

(2)
Here is crystalline PuHgPd at its relaxed geometry from the Alexandria database. Energies are from PBE.

The formation energy from the elements comes out at -0.36 eV per atom.

It has space group Pmma (No. 51), with a = 13.7194 Å, b = 3.7801 Å, c = 7.8735 Å, α = 90.00°, β = 90.00° and γ = 90.00°. The asymmetric unit holds Pu at (0.0518, 0.0000, 0.2316), Pu at (0.2500, 0.0000, 0.8276), Hg at (0.1089, 0.5000, 0.5672), Hg at (0.2500, 0.5000, 0.1755), Pd at (0.0939, 0.5000, 0.9330) and Pd at (0.2500, 0.0000, 0.4449).

=====

(3)
Here is crystalline TlSiAu2 at its relaxed geometry from the Alexandria database. Energies are from PBE.

Its raw formation energy is 0.078 eV/atom.

It has space group Pm (No. 6), with a = 3.9293 Å, b = 4.7257 Å, c = 4.9519 Å, α = 90.00°, β = 90.08° and γ = 90.00°. The asymmetric unit holds Tl at (0.0000, 0.0000, 0.0000), Si at (0.4985, 0.5000, 0.6606), Au at (0.4982, 0.0000, 0.5007) and Au at (0.5026, 0.5000, 0.1521).

=====

no.,VASP energy (eV/atom),total magnetic moment (μB/f.u.),calculated volume (Å³/f.u.)
1,-4.69,0.635,118.2
2,-6.97,5.662,68.1
3,-3.51,0.000,91.9